Entry from Alexandria: a relaxed CoBiSe2N crystal (PBE-GGA).

POSCAR file:
```
CoBiSe2N
1.0
5.5130 0.0000 0.0000
0.0000 5.5130 0.0000
0.0000 0.0000 4.2966
Co Bi Se N
1 1 2 1
Direct
0.0000 0.0000 0.0000
0.5000 0.5000 0.5000
0.0000 0.5000 0.5000
0.5000 0.0000 0.5000
0.5000 0.5000 0.0000
```

Results
* calculated density: 5.6 g/cm³
* E_tot: -3.786 eV per atom
* raw formation energy: 1.470 eV/atom
* offset from the most stable computed form: 1248 meV/atom
* M_tot: 4.00 μB per cell